1.
An optimized crystal structure of TmPa5C6. Source: Alexandria, functional GGA-PBE.

Unit cell a=6.224 b=6.224 c=6.229 alpha=99.60 beta=99.60 gamma=120.04
Element x y z (fractional)
Tm  0.000  0.000  0.000
Pa  0.166  0.834  0.500
Pa  0.333  0.667  0.000
Pa  0.500  0.500  0.500
Pa  0.667  0.333  0.000
Pa  0.834  0.166  0.500
C  0.085  0.428  0.256
C  0.260  0.260  0.748
C  0.428  0.085  0.256
C  0.572  0.915  0.744
C  0.740  0.740  0.252
C  0.915  0.572  0.744

Properties
Magnetization ... 0.00 μB/atom
Formation energy from the elements ... -0.44 eV per atom
DOS(E_F) ... 10.468 states/eV/f.u.
Space-group type ... C2/m (12)

***

2.
An optimized crystal structure of Tm2PaVC4. Source: Alexandria, functional GGA-PBE.

Unit cell a=6.037 b=6.037 c=11.854 alpha=90.00 beta=90.00 gamma=146.83
Element x y z (fractional)
Tm  0.131  0.869  0.544
Tm  0.131  0.869  0.956
Tm  0.869  0.131  0.044
Tm  0.869  0.131  0.456
Pa  0.395  0.605  0.750
Pa  0.605  0.395  0.250
V  0.340  0.660  0.250
V  0.660  0.340  0.750
C  0.057  0.943  0.750
C  0.230  0.770  0.135
C  0.230  0.770  0.365
C  0.500  0.500  0.000
C  0.500  0.500  0.500
C  0.770  0.230  0.635
C  0.770  0.230  0.865
C  0.943  0.057  0.250

Properties
Magnetization ... 0.00 μB/atom
Formation energy from the elements ... -0.16 eV per atom
DOS(E_F) ... 3.132 states/eV/f.u.
Space-group type ... Cmcm (63)

***

3.
An optimized crystal structure of TmPa2WC4. Source: Alexandria, functional GGA-PBE.

Unit cell a=6.137 b=6.137 c=12.638 alpha=90.00 beta=90.00 gamma=147.56
Element x y z (fractional)
Tm  0.117  0.883  0.750
Tm  0.883  0.117  0.250
Pa  0.365  0.635  0.536
Pa  0.365  0.635  0.964
Pa  0.635  0.365  0.036
Pa  0.635  0.365  0.464
W  0.152  0.848  0.250
W  0.848  0.152  0.750
C  0.000  0.000  0.000
C  0.000  0.000  0.500
C  0.264  0.736  0.132
C  0.264  0.736  0.368
C  0.446  0.554  0.750
C  0.554  0.446  0.250
C  0.736  0.264  0.632
C  0.736  0.264  0.868

Properties
Magnetization ... 0.00 μB/atom
Formation energy from the elements ... -0.09 eV per atom
DOS(E_F) ... 7.761 states/eV/f.u.
Space-group type ... Cmcm (63)

***

4.
An optimized crystal structure of TmPaWC3. Source: Alexandria, functional GGA-PBE.

Unit cell a=7.308 b=3.545 c=7.813 alpha=90.00 beta=96.62 gamma=90.00
Element x y z (fractional)
Tm  0.128  0.250  0.162
Tm  0.872  0.750  0.838
Pa  0.333  0.750  0.830
Pa  0.667  0.250  0.170
W  0.395  0.750  0.401
W  0.605  0.250  0.599
C  0.128  0.250  0.859
C  0.320  0.250  0.505
C  0.393  0.750  0.145
C  0.607  0.250  0.855
C  0.680  0.750  0.495
C  0.872  0.750  0.141

Properties
Magnetization ... 0.00 μB/atom
Formation energy from the elements ... 0.00 eV per atom
DOS(E_F) ... 3.485 states/eV/f.u.
Space-group type ... P2_1/m (11)